Entry 1:
Density functional theory data (meta-GGA SCAN) for ReHgRh2 at its PBEsol-relaxed geometry.

The space group is P4/mmm (No. 123) and the conventional cell measures 2.7900, 2.7900 and 7.7842 Å, with angles of 90.00, 90.00 and 90.00 degrees. The distinct sites, in fractional coordinates, are Re at (0.0000, 0.0000, 0.0000), Hg at (0.0000, 0.0000, 0.5000) and Rh at (0.5000, 0.5000, 0.2252).



Entry 2:
Density functional theory data (meta-GGA SCAN) for ReHgRu2 at its PBEsol-relaxed geometry.

The space group is P4/mmm (No. 123) and the conventional cell measures 3.9924, 3.9924 and 3.7577 Å, with angles of 90.00, 90.00 and 90.00 degrees. The distinct sites, in fractional coordinates, are Re at (0.0000, 0.0000, 0.0000), Hg at (0.5000, 0.5000, 0.0000) and Ru at (0.0000, 0.5000, 0.5000).



Entry 3:
Density functional theory data (meta-GGA SCAN) for ReHgRu2 at its PBEsol-relaxed geometry.

The space group is I4/mmm (No. 139) and the conventional cell measures 3.9565, 3.9565 and 7.6155 Å, with angles of 90.00, 90.00 and 90.00 degrees. The distinct sites, in fractional coordinates, are Re at (0.0000, 0.0000, 0.0000), Hg at (0.0000, 0.0000, 0.5000) and Ru at (0.0000, 0.5000, 0.2500).



Entry 4:
Density functional theory data (meta-GGA SCAN) for ReHgRu2 at its PBEsol-relaxed geometry.

The space group is F-43m (No. 216) and the conventional cell measures 6.2600, 6.2600 and 6.2600 Å, with angles of 90.00, 90.00 and 90.00 degrees. The distinct sites, in fractional coordinates, are Re at (0.0000, 0.0000, 0.0000), Hg at (0.2500, 0.2500, 0.2500), Ru at (0.0000, 0.0000, 0.5000) and Ru at (0.2500, 0.2500, 0.7500).



Entry 5:
Density functional theory data (meta-GGA SCAN) for ReHgRu2 at its PBEsol-relaxed geometry.

The space group is P4/mmm (No. 123) and the conventional cell measures 2.8100, 2.8100 and 7.6841 Å, with angles of 90.00, 90.00 and 90.00 degrees. The distinct sites, in fractional coordinates, are Re at (0.0000, 0.0000, 0.0000), Hg at (0.0000, 0.0000, 0.5000) and Ru at (0.5000, 0.5000, 0.2251).



Entry 6:
Density functional theory data (meta-GGA SCAN) for ReHg2Ru at its PBEsol-relaxed geometry.

The space group is P2/m (No. 10) and the conventional cell measures 2.8348, 4.8213 and 4.9231 Å, with angles of 90.00, 91.75 and 90.00 degrees. The distinct sites, in fractional coordinates, are Re at (0.0000, 0.0000, 0.0000), Hg at (0.2560, 0.5000, 0.7484) and Ru at (0.5000, 0.0000, 0.5000).



Entry 7:
Density functional theory data (meta-GGA SCAN) for ReHgRu2 at its PBEsol-relaxed geometry.

The space group is R-3m (No. 166, hexagonal axes) and the conventional cell measures 2.7771, 2.7771 and 27.2472 Å, with angles of 90.00, 90.00 and 120.00 degrees. The distinct sites, in fractional coordinates, are Re at (0.0000, 0.0000, 0.0000), Hg at (0.0000, 0.0000, 0.5000) and Ru at (0.0000, 0.0000, 0.2567).



Entry 8:
Density functional theory data (meta-GGA SCAN) for Re2HgRu at its PBEsol-relaxed geometry.

The space group is I-4m2 (No. 119) and the conventional cell measures 3.9446, 3.9446 and 7.8024 Å, with angles of 90.00, 90.00 and 90.00 degrees. The distinct sites, in fractional coordinates, are Re at (0.0000, 0.0000, 0.0000), Re at (0.0000, 0.5000, 0.2500), Hg at (0.0000, 0.5000, 0.7500) and Ru at (0.0000, 0.0000, 0.5000).



| no. | DFT formation energy (meV/atom) |
| --- | --- |
| 1 | -44.1 |
| 2 | 730.0 |
| 3 | 556.9 |
| 4 | 837.3 |
| 5 | 253.3 |
| 6 | 893.7 |
| 7 | 278.4 |
| 8 | 669.3 |